No. 1
NaAcMg2F8 | PBE | optimized geometry

raw formation energy = -3.579 eV/atom

Cell and atoms, written as POSCAR:
```
NaAcMg2F8
1.0
-2.7540 2.7540 5.7673
2.7540 -2.7540 5.7673
2.7540 2.7540 -5.7673
Na Ac Mg F
1 1 2 8
Cartesian
0.0000 0.0000 0.0000
2.7540 0.0000 2.8836
0.0000 0.0000 5.7673
0.0000 2.7540 2.8836
1.3836 0.9207 -1.9048
1.3373 -0.9273 4.7480
1.8267 1.4167 1.0192
1.8333 -1.3704 7.6720
1.4167 3.6813 -1.0192
1.3704 1.8333 3.8625
0.9273 1.3373 6.7865
0.9207 4.1244 1.9048
```



No. 2
BaLaCr2 | PBE | optimized geometry

energy relative to the elements = 306 kJ/mol of formula units
offset from the most stable computed form = 0.95 eV/f.u.

Cell and atoms, written as POSCAR:
```
BaLaCr2
1.0
4.1454 0.0000 0.0000
0.0000 4.1454 0.0000
0.0000 0.0000 6.9467
Ba La Cr
1 1 2
Cartesian
0.0000 0.0000 0.0000
0.0000 0.0000 3.4734
2.0727 2.0727 2.5574
2.0727 2.0727 4.3894
```



No. 3
InS2F2 | PBE | optimized geometry

raw formation energy = -0.689 eV/atom
offset from the most stable computed form = 0.00 eV/f.u.

Cell and atoms, written as POSCAR:
```
InS2F2
1.0
6.8757 0.0000 0.0000
0.0000 6.8757 0.0000
0.0000 0.0000 3.8481
In S F
2 4 4
Cartesian
0.0000 0.0000 0.0000
3.4378 3.4378 0.0000
0.6646 2.7733 0.0000
2.7733 6.2111 0.0000
4.1024 0.6646 0.0000
6.2111 4.1024 0.0000
1.6968 1.7411 1.9241
1.7411 5.1789 1.9241
5.1346 1.6968 1.9241
5.1789 5.1346 1.9241
```



Number 1: total energy -5.54 eV/atom, size of the total moment 0.000 μB per atom. Number 2: total energy -5.73 eV/atom, size of the total moment 0.000 μB per atom. Number 3: total energy -3.64 eV/atom, size of the total moment 0.000 μB per atom.